Ta5Tc, relaxed, DFT PBEsol; polymorph energy (0 for the lowest one) = 0.00 kJ per mole of atoms; total magnetization = 0.00 μB/f.u.; space-group type = C2/m; DOS(E_F) = 11.5 states/eV/cell; energy of formation = -0.172 eV/atom
1.0
10.284 0.000 0.000
0.000 3.204 0.000
-2.105 0.000 6.163
Ta Tc
10 2
direct
0.000 0.000 0.000
0.160 0.500 0.338
0.164 0.500 0.825
0.336 0.000 0.175
0.340 0.000 0.662
0.500 0.500 0.000
0.660 0.000 0.338
0.664 0.000 0.825
0.836 0.500 0.175
0.840 0.500 0.662
0.000 0.000 0.500
0.500 0.500 0.500